Here is an optimized crystal structure of CsLa2CuTeS3 from the Open Quantum Materials Database. Energies are from PBE.

Calculated values
total magnetic moment: 0.02 μB/f.u.
crystal system: orthorhombic
E_tot: -0.1966 hartree per atom
distance to the lowest polymorph of the same formula: 0.0 kJ/mol of atoms
V: 29.80 A^3/atom

Cell: 7.9451 7.9451 14.3578 Å, 90.00 90.00 148.26°
Fractional positions:
Cs1 0.0997 0.9003 0.7500
Cs2 0.9003 0.0997 0.2500
La1 0.3534 0.6466 0.5654
La2 0.3534 0.6466 0.9346
La3 0.6466 0.3534 0.0654
La4 0.6466 0.3534 0.4346
Cu1 0.1713 0.8287 0.2500
Cu2 0.8287 0.1713 0.7500
Te1 0.0000 0.0000 0.0000
Te2 0.0000 0.0000 0.5000
S1 0.2574 0.7426 0.1125
S2 0.2574 0.7426 0.3875
S3 0.4088 0.5912 0.7500
S4 0.5912 0.4088 0.2500
S5 0.7426 0.2574 0.6125
S6 0.7426 0.2574 0.8875


Here is an optimized crystal structure of HoHICl from the Open Quantum Materials Database. Energies are from PBE.

Calculated values
total magnetic moment: 0.00 μB/f.u.
crystal system: trigonal
E_tot: -0.1577 hartree per atom
distance to the lowest polymorph of the same formula: 0.2 kJ/mol of atoms
V: 24.35 A^3/atom

Cell: 3.8523 3.8523 15.1560 Å, 90.00 90.00 120.00°
Fractional positions:
Ho1 0.0000 0.0000 0.2385
Ho2 0.0000 0.0000 0.7615
H1 0.3333 0.6667 0.7570
H2 0.6667 0.3333 0.2430
I1 0.3333 0.6667 0.3811
I2 0.6667 0.3333 0.6189
Cl1 0.3333 0.6667 0.1276
Cl2 0.6667 0.3333 0.8724


Here is an optimized crystal structure of La2GdSe3 from the Open Quantum Materials Database. Energies are from PBE.

Calculated values
total magnetic moment: 0.00 μB/f.u.
crystal system: trigonal
E_tot: -0.2240 hartree per atom
V: 27.01 A^3/atom

Cell: 4.2314 4.2314 10.4507 Å, 90.00 90.00 120.00°
Fractional positions:
La1 0.3333 0.6667 0.1708
La2 0.6667 0.3333 0.8292
Gd1 0.0000 0.0000 0.5000
Se1 0.0000 0.0000 0.0000
Se2 0.3333 0.6667 0.6543
Se3 0.6667 0.3333 0.3457


Here is an optimized crystal structure of Lu4AlCoN2 from the Open Quantum Materials Database. Energies are from PBE.

Calculated values
total magnetic moment: 0.47 μB/f.u.
crystal system: hexagonal
E_tot: -0.2423 hartree per atom
V: 17.40 A^3/atom

Cell: 3.3464 3.3464 14.3570 Å, 90.00 90.00 120.00°
Fractional positions:
Lu1 0.0000 0.0000 0.1360
Lu2 0.0000 0.0000 0.8640
Lu3 0.3333 0.6667 0.3258
Lu4 0.3333 0.6667 0.6742
Al1 0.0000 0.0000 0.5000
Co1 0.3333 0.6667 0.0000
N1 0.6667 0.3333 0.2415
N2 0.6667 0.3333 0.7585


Here is an optimized crystal structure of Nd2GdNiGe3Ir2 from the Open Quantum Materials Database. Energies are from PBE.

Calculated values
total magnetic moment: 0.00 μB/f.u.
crystal system: orthorhombic
E_tot: -0.2361 hartree per atom
V: 19.59 A^3/atom

Cell: 3.9746 7.1416 7.1416 Å, 119.57 90.00 90.00°
Fractional positions:
Nd1 0.0000 0.2036 0.7964
Nd2 0.0000 0.7964 0.2036
Gd1 0.0000 0.3915 0.3915
Ni1 0.0000 0.7911 0.7911
Ge1 0.5000 0.0430 0.0430
Ge2 0.5000 0.5510 0.7932
Ge3 0.5000 0.7932 0.5510
Ir1 0.5000 0.1352 0.4596
Ir2 0.5000 0.4596 0.1352


Here is an optimized crystal structure of CsGdW from the Open Quantum Materials Database. Energies are from PBE.

Calculated values
total magnetic moment: 0.04 μB/f.u.
crystal system: hexagonal
E_tot: -0.1641 hartree per atom
V: 27.89 A^3/atom

Cell: 9.4729 9.4729 3.2300 Å, 90.00 90.00 120.00°
Fractional positions:
Cs1 0.0000 0.6353 0.0000
Cs2 0.3647 0.3647 0.0000
Cs3 0.6353 0.0000 0.0000
Gd1 0.0000 0.2923 0.5000
Gd2 0.2923 0.0000 0.5000
Gd3 0.7077 0.7077 0.5000
W1 0.0000 0.0000 0.0000
W2 0.3333 0.6667 0.5000
W3 0.6667 0.3333 0.5000


Here is an optimized crystal structure of CuReB4 from the Open Quantum Materials Database. Energies are from PBE.

Calculated values
total magnetic moment: 0.00 μB/f.u.
crystal system: orthorhombic
E_tot: -0.2549 hartree per atom
distance to the lowest polymorph of the same formula: 0.0 kJ/mol of atoms
V: 8.53 A^3/atom

Cell: 4.4563 4.4563 4.4563 Å, 141.12 107.41 85.55°
Fractional positions:
Cu1 0.0000 0.0000 0.0000
Re1 0.5000 0.5000 0.0000
B1 0.0837 0.7447 0.3390
B2 0.4057 0.7447 0.6610
B3 0.5943 0.2553 0.3390
B4 0.9163 0.2553 0.6610


Here is an optimized crystal structure of BaLiUSe3 from the Open Quantum Materials Database. Energies are from PBE.

Calculated values
total magnetic moment: 2.97 μB/f.u.
crystal system: orthorhombic
E_tot: -0.2101 hartree per atom
V: 27.37 A^3/atom

Cell: 7.3931 7.3931 10.8735 Å, 90.00 90.00 146.46°
Fractional positions:
Ba1 0.2480 0.7520 0.7500
Ba2 0.7520 0.2480 0.2500
Li1 0.0273 0.9727 0.2500
Li2 0.9727 0.0273 0.7500
U1 0.5000 0.5000 0.0000
U2 0.5000 0.5000 0.5000
Se1 0.1331 0.8669 0.0622
Se2 0.1331 0.8669 0.4378
Se3 0.4296 0.5704 0.2500
Se4 0.5704 0.4296 0.7500
Se5 0.8669 0.1331 0.5622
Se6 0.8669 0.1331 0.9378


Here is an optimized crystal structure of Sc2ZnO4 from the Open Quantum Materials Database. Energies are from PBE.

Calculated values
total magnetic moment: 0.00 μB/f.u.
crystal system: cubic
E_tot: -0.2840 hartree per atom
V: 11.91 A^3/atom

Cell: 6.1773 6.1773 6.1773 Å, 60.00 60.00 60.00°
Fractional positions:
Sc1 0.0000 0.0000 0.0000
Sc2 0.0000 0.0000 0.5000
Sc3 0.0000 0.5000 0.0000
Sc4 0.5000 0.0000 0.0000
Zn1 0.3750 0.3750 0.3750
Zn2 0.6250 0.6250 0.6250
O1 0.2235 0.7588 0.7588
O2 0.2412 0.2412 0.2412
O3 0.2412 0.2412 0.7765
O4 0.2412 0.7765 0.2412
O5 0.7588 0.2235 0.7588
O6 0.7588 0.7588 0.2235
O7 0.7588 0.7588 0.7588
O8 0.7765 0.2412 0.2412


Here is an optimized crystal structure of BaYU from the Open Quantum Materials Database. Energies are from PBE.

Calculated values
total magnetic moment: 5.39 μB/f.u.
crystal system: cubic
E_tot: -0.1859 hartree per atom
distance to the lowest polymorph of the same formula: 0.0 kJ/mol of atoms
V: 43.08 A^3/atom

Cell: 5.6751 5.6751 5.6751 Å, 60.00 60.00 60.00°
Fractional positions:
Ba1 0.0000 0.0000 0.0000
Y1 0.5000 0.5000 0.5000
U1 0.2500 0.2500 0.2500


Here is an optimized crystal structure of ErTlGeS3 from the Open Quantum Materials Database. Energies are from PBE.

Calculated values
total magnetic moment: 0.00 μB/f.u.
crystal system: monoclinic
E_tot: -0.1861 hartree per atom
distance to the lowest polymorph of the same formula: 0.0 kJ/mol of atoms
V: 26.89 A^3/atom

Cell: 8.2141 3.8664 10.6401 Å, 90.00 107.26 90.00°
Fractional positions:
Er1 0.1414 0.2500 0.1538
Er2 0.8586 0.7500 0.8462
Tl1 0.2612 0.7500 0.7282
Tl2 0.7388 0.2500 0.2718
Ge1 0.3586 0.7500 0.4386
Ge2 0.6414 0.2500 0.5614
S1 0.1017 0.2500 0.8935
S2 0.1590 0.2500 0.4139
S3 0.3854 0.7500 0.2235
S4 0.6146 0.2500 0.7765
S5 0.8410 0.7500 0.5861
S6 0.8983 0.7500 0.1065


Here is an optimized crystal structure of Re2AgW from the Open Quantum Materials Database. Energies are from PBE.

Calculated values
total magnetic moment: 0.00 μB/f.u.
crystal system: cubic
E_tot: -0.3483 hartree per atom
V: 15.72 A^3/atom

Cell: 4.4634 4.4634 4.4634 Å, 60.00 60.00 60.00°
Fractional positions:
Re1 0.0000 0.0000 0.0000
Re2 0.2500 0.2500 0.2500
Ag1 0.7500 0.7500 0.7500
W1 0.5000 0.5000 0.5000